Crystalline Cs2PbWF6 at its relaxed geometry, computed with GGA+U.

Values from the calculation:
Calculated volume: 23.6 Å³ per atom
Calculated total energy: -4.80 eV/atom
Symmetry: No. 139
DOS at the Fermi energy: 0.000 states/eV/f.u.
Total magnetization: 0.40 μB per atom

Cell lengths 7.235, 7.235, 7.235 Å; angles 126.59, 126.59, 78.92 degrees
Positions (direct):
Cs 0.250 0.750 0.500
Cs 0.750 0.250 0.500
Pb 0.000 0.000 0.000
W 0.500 0.500 0.000
F 0.269 0.269 0.538
F 0.269 0.731 0.000
F 0.311 0.311 0.000
F 0.689 0.689 0.000
F 0.731 0.269 0.000
F 0.731 0.731 0.462